VASP calculation (GGA-PBE) on crystalline NdSm2Cl at its relaxed geometry.

a = 11.5727 Å, b = 11.5727 Å, c = 11.5727 Å
α = 17.37°, β = 17.37°, γ = 17.37°
Fractional positions:
Nd  0.0000  0.0000  0.0000
Sm  0.1009  0.1009  0.1009
Sm  0.8991  0.8991  0.8991
Cl  0.5000  0.5000  0.5000

Values from the calculation:
E_form (uncorrected) in kJ/mol of atoms: -43.2
E_tot in eV per atom: -4.46
SG: R-3m

---

VASP calculation (GGA-PBE) on crystalline NdSmCl6 at its relaxed geometry.

a = 6.9010 Å, b = 6.9021 Å, c = 7.4728 Å
α = 62.55°, β = 62.50°, γ = 60.03°
Fractional positions:
Nd  0.0000  0.0000  0.0000
Sm  0.5000  0.5000  0.5000
Cl  0.1043  0.3997  0.7485
Cl  0.2524  0.8953  0.2518
Cl  0.3998  0.7480  0.7481
Cl  0.6002  0.2520  0.2519
Cl  0.7476  0.1047  0.7482
Cl  0.8957  0.6003  0.2515

Values from the calculation:
E_form (uncorrected) in kJ/mol of atoms: -216.1
E_tot in eV per atom: -4.81
SG: P-1

---

VASP calculation (GGA-PBE) on crystalline NdSmCl3 at its relaxed geometry.

a = 8.1545 Å, b = 8.1545 Å, c = 10.6334 Å
α = 117.57°, β = 117.57°, γ = 28.45°
Fractional positions:
Nd  0.1405  0.1405  0.2932
Nd  0.8595  0.8595  0.7068
Sm  0.4105  0.4105  0.0504
Sm  0.5895  0.5895  0.9496
Cl  0.0471  0.0471  0.7430
Cl  0.2271  0.2271  0.1159
Cl  0.3425  0.3425  0.4935
Cl  0.6575  0.6575  0.5065
Cl  0.7729  0.7729  0.8841
Cl  0.9529  0.9529  0.2570

Values from the calculation:
E_form (uncorrected) in kJ/mol of atoms: -178.0
E_tot in eV per atom: -4.85
SG: C2/m

---

VASP calculation (GGA-PBE) on crystalline Nd2SmCl at its relaxed geometry.

a = 10.5094 Å, b = 10.5094 Å, c = 10.5094 Å
α = 20.30°, β = 20.30°, γ = 20.30°
Fractional positions:
Nd  0.2391  0.2391  0.2391
Nd  0.7609  0.7609  0.7609
Sm  0.0000  0.0000  0.0000
Cl  0.5000  0.5000  0.5000

Values from the calculation:
E_form (uncorrected) in kJ/mol of atoms: -65.6
E_tot in eV per atom: -4.71
SG: R-3m

---

In the order shown, the computed magnetization values come out to 0.000, 0.000, 0.000, 0.000 μB/atom.